A plane-wave DFT calculation with PBE was carried out for LiSn2As2Pd7 after structural relaxation.

Structure (POSCAR):
```
LiSn2As2Pd7
1.0
-0.2885 1.9117 3.4465
2.5007 -2.6043 1.6063
11.7940 8.1934 -2.2308
Pd As Sn Li
7 2 2 1
Direct
0.5412 0.0415 0.8629 Pd
0.4588 0.9585 0.1371 Pd
0.9585 0.4588 0.1371 Pd
0.3886 0.3886 0.4107 Pd
0.6114 0.6114 0.5893 Pd
0.0415 0.5412 0.8629 Pd
0.5000 0.5000 0.0000 Pd
0.5708 0.5708 0.7622 As
0.4292 0.4292 0.2378 As
0.8756 0.8756 0.4095 Sn
0.1244 0.1244 0.5905 Sn
0.0000 0.0000 0.0000 Li
```

Total moment ... 0.0 μB/f.u.
Formation enthalpy at 0 K ... -0.316 eV per atom